This record from Alexandria via LeMat-Bulk describes a relaxed structure of Si2PIr2. The functional is PBE.

polymorph energy (0 for the lowest one)	0.040	eV/atom
symmetry	I4/mmm (139)
uncorrected energy	-6.86	eV per atom
ΔE_f (raw)	-63	meV per atom
total magnetic moment	0.00	μB per formula unit

The structure in POSCAR format:
```
Si2PIr2
1.0
-3.603 1.844 0.546
-0.053 -1.255 3.887
0.403 4.265 3.529
Ir Si P
2 2 1
Direct
0.750 0.250 0.500
0.250 0.750 0.500
0.619 0.619 0.762
0.381 0.381 0.238
0.000 0.000 0.000
```